HoLuCdGe PBE-GGA relaxed; total moment = 0.0 μB per cell; formation enthalpy at 0 K = -0.431 eV/atom; calculated total energy = -0.1502 hartree per atom; calculated density = 9.372 Mg/m³
1.0
0.0000 3.5961 3.5961
3.5961 0.0000 3.5961
3.5961 3.5961 0.0000
Ho Lu Cd Ge
1 1 1 1
Cartesian
0.0000 0.0000 0.0000 Ho
3.5961 3.5961 3.5961 Lu
1.7980 1.7980 1.7980 Cd
5.3941 5.3941 5.3941 Ge